(1)
A PBEsol-optimized structure of Li2CuAg. Source: Alexandria via LeMat-Bulk, functional meta-GGA SCAN.

Cell: 2.7397 4.6619 4.6968 Å, 99.34 106.96 90.00°
Last column: nearest neighbours and their distance in Å.
Atoms (fractional coordinates):
1 Cu 0.2489 0.7485 0.4978  7 Li 2.64-2.74, 3 Ag 2.66-2.74, 2 Cu 2.74
2 Ag 0.5056 0.5059 0.0111  7 Li 2.65-2.77, 3 Cu 2.66-2.74, 2 Ag 2.74
3 Li 0.9903 0.9865 0.9807  5 Li 2.64-2.85, 3 Cu 2.64-2.74, 4 Ag 2.65-2.77
4 Li 0.7552 0.2591 0.5104  5 Li 2.64-2.85, 4 Cu 2.67-2.74, 3 Ag 2.69-2.72

Summary:
- Calculated formation energy: -63 meV per atom
- M_tot: 0.0 μB/f.u.
- Calculated total energy: -51.6 eV per cell
- Density of states at the Fermi level: 1.142 states/eV per cell

***

(2)
A PBEsol-optimized structure of BaLa3. Source: Alexandria via LeMat-Bulk, functional meta-GGA SCAN.

Cell: 3.6993 5.2499 7.7737 Å, 90.00 90.00 90.00°
Last column: nearest neighbours and their distance in Å.
Atoms (fractional coordinates):
1 La 0.5000 0.5000 0.7124  5 La 3.30-3.61
2 La 0.0000 0.0000 0.5000  10 La 3.61-3.70, 2 Ba 3.89
3 Ba 0.0000 0.0000 0.0000  2 Ba 3.70, 10 La 3.89-3.91
4 La 0.5000 0.5000 0.2876  5 La 3.30-3.61

Summary:
- Calculated formation energy: 115 meV per atom
- Excess energy over the best structure of this formula in the dataset: 25 meV/atom
- M_tot: 0.0 μB/f.u.
- Calculated total energy: -168.4 eV per cell
- Density of states at the Fermi level: 4.776 states/eV per cell

***

(3)
A PBEsol-optimized structure of Be2ZnPt2. Source: Alexandria via LeMat-Bulk, functional meta-GGA SCAN.

Cell: 2.7194 6.7330 6.7330 Å, 90.00 90.00 90.00°
Last column: nearest neighbours and their distance in Å.
Atoms (fractional coordinates):
1 Pt 0.0000 0.1538 0.3462  6 Be 2.38-2.41, 2 Zn 2.55
2 Pt 0.0000 0.8462 0.6538  6 Be 2.38-2.41, 2 Zn 2.55
3 Pt 0.0000 0.6538 0.1538  6 Be 2.38-2.41, 2 Zn 2.55
4 Be 0.5000 0.6410 0.8590  6 Pt 2.38-2.41
5 Zn 0.0000 0.5000 0.5000  4 Pt 2.55, 2 Zn 2.72
6 Zn 0.0000 0.0000 0.0000  4 Pt 2.55, 2 Zn 2.72
7 Pt 0.0000 0.3462 0.8462  6 Be 2.38-2.41, 2 Zn 2.55
8 Be 0.5000 0.3590 0.1410  6 Pt 2.38-2.41
9 Be 0.5000 0.8590 0.3590  6 Pt 2.38-2.41
10 Be 0.5000 0.1410 0.6410  6 Pt 2.38-2.41

Summary:
- Calculated formation energy: -724 meV per atom
- M_tot: 0.0 μB/f.u.
- Calculated total energy: -332.5 eV per cell
- Density of states at the Fermi level: 1.793 states/eV per cell

***

Number 1 is which compound?
Li2CuAg

***

What is the formula in the second record?
BaLa3

***

Copy entry 1 word for word.
A PBEsol-optimized structure of Li2CuAg. Source: Alexandria via LeMat-Bulk, functional meta-GGA SCAN.

Cell: 2.7397 4.6619 4.6968 Å, 99.34 106.96 90.00°
Last column: nearest neighbours and their distance in Å.
Atoms (fractional coordinates):
1 Cu 0.2489 0.7485 0.4978  7 Li 2.64-2.74, 3 Ag 2.66-2.74, 2 Cu 2.74
2 Ag 0.5056 0.5059 0.0111  7 Li 2.65-2.77, 3 Cu 2.66-2.74, 2 Ag 2.74
3 Li 0.9903 0.9865 0.9807  5 Li 2.64-2.85, 3 Cu 2.64-2.74, 4 Ag 2.65-2.77
4 Li 0.7552 0.2591 0.5104  5 Li 2.64-2.85, 4 Cu 2.67-2.74, 3 Ag 2.69-2.72

Summary:
- Calculated formation energy: -63 meV per atom
- M_tot: 0.0 μB/f.u.
- Calculated total energy: -51.6 eV per cell
- Density of states at the Fermi level: 1.142 states/eV per cell

***

Look up the density of states at the Fermi level of the second one.
4.776 states/eV per cell